A | # LiScFe3

LiScFe3 after structural relaxation (PBE, Alexandria via LeMat-Bulk).

POSCAR file:
```
LiScFe3
1.0
4.5384 0.0000 0.0000
0.0000 4.5384 0.0000
0.0000 0.0000 4.5384
Sc Fe Li
1 3 1
direct
0.0000 0.0000 0.0000
0.0000 0.5000 0.0000
0.0000 0.0000 0.5000
0.5000 0.0000 0.0000
0.5000 0.5000 0.5000
```

Output
DOS(E_F) (states/eV/f.u.): 5.18
M_tot (μB per atom): 1.28

B | # LiScFe3

LiScFe3 after structural relaxation (PBE, Alexandria via LeMat-Bulk).

POSCAR file:
```
LiScFe3
1.0
-0.9501 -3.3435 -2.1748
-0.2734 -2.1758 3.4645
-3.9792 0.9478 0.2812
Sc Fe Li
1 3 1
direct
0.5000 0.5000 0.5000
0.0000 0.5000 0.0000
0.0000 0.0000 0.5000
0.5000 0.0000 0.0000
0.0000 0.0000 0.0000
```

Output
DOS(E_F) (states/eV/f.u.): 4.87
M_tot (μB per atom): 1.19

Need the numbers? Relative energies in eV/atom: A 0.641; B 0.000.

A | # Li2Sc2Fe

Li2Sc2Fe after structural relaxation (PBE, Alexandria via LeMat-Bulk).

POSCAR file:
```
Li2Sc2Fe
1.0
6.3601 0.0000 0.0000
0.0000 6.3601 0.0000
0.0000 0.0000 5.3419
Sc Fe Li
4 2 4
direct
0.3252 0.8252 0.0000
0.8252 0.6748 0.0000
0.6748 0.1748 0.0000
0.1748 0.3252 0.0000
0.0000 0.0000 0.0000
0.5000 0.5000 0.0000
0.1717 0.6717 0.5000
0.6717 0.8283 0.5000
0.8283 0.3283 0.5000
0.3283 0.1717 0.5000
```

Output
DOS(E_F) (states/eV/f.u.): 4.27
M_tot (μB per atom): 0.00

B | # Li2Sc2Fe

Li2Sc2Fe after structural relaxation (PBE, Alexandria via LeMat-Bulk).

POSCAR file:
```
Li2Sc2Fe
1.0
3.2146 0.0000 0.0000
0.0000 3.2146 0.0000
1.6073 1.6073 8.6706
Sc Fe Li
2 1 2
direct
0.4144 0.4144 0.1711
0.5856 0.5856 0.8289
0.0000 0.0000 0.0000
0.7500 0.2500 0.5000
0.2500 0.7500 0.5000
```

Output
DOS(E_F) (states/eV/f.u.): 2.51
M_tot (μB per atom): 0.00

C | # Li2Sc2Fe

Li2Sc2Fe after structural relaxation (PBE, Alexandria via LeMat-Bulk).

POSCAR file:
```
Li2Sc2Fe
1.0
6.3950 0.0000 0.0000
0.0000 6.3950 0.0000
0.0000 0.0000 4.1291
Sc Fe Li
4 2 4
direct
0.2017 0.7017 0.5000
0.7017 0.7983 0.5000
0.7983 0.2983 0.5000
0.2983 0.2017 0.5000
0.0000 0.0000 0.0000
0.5000 0.5000 0.0000
0.3801 0.8801 0.0000
0.8801 0.6199 0.0000
0.6199 0.1199 0.0000
0.1199 0.3801 0.0000
```

Output
DOS(E_F) (states/eV/f.u.): 9.49
M_tot (μB per atom): 0.00

Need the numbers? Relative energies in eV/atom: A 0.218; B 0.000; C 0.289.

A | # LiScFe

LiScFe after structural relaxation (PBE, Alexandria via LeMat-Bulk).

POSCAR file:
```
LiScFe
1.0
4.3745 0.0000 0.0000
2.1872 3.7884 0.0000
2.1872 1.2628 3.5717
Fe Li Sc
1 1 1
direct
0.0000 0.0000 0.0000
0.5000 0.5000 0.5000
0.2500 0.2500 0.2500
```

Output
DOS(E_F) (states/eV/f.u.): 6.73
M_tot (μB per atom): 0.52

B | # LiScFe

LiScFe after structural relaxation (PBE, Alexandria via LeMat-Bulk).

POSCAR file:
```
LiScFe
1.0
-4.1955 -2.4019 1.9471
-0.9720 -5.1178 0.1615
3.3475 3.8395 1.1019
Fe Li Sc
1 1 1
direct
0.9946 0.9946 0.0000
0.3534 0.3534 0.0000
0.6520 0.6520 0.0000
```

Output
DOS(E_F) (states/eV/f.u.): 3.56
M_tot (μB per atom): 0.50

C | # LiScFe

LiScFe after structural relaxation (PBE, Alexandria via LeMat-Bulk).

POSCAR file:
```
LiScFe
1.0
6.2584 -0.0015 0.0016
5.5604 2.8739 0.0387
0.6980 0.1362 2.8724
Fe Li Sc
1 1 1
direct
0.9984 0.9984 0.0016
0.3557 0.3557 0.6443
0.6459 0.6459 0.3541
```

Output
DOS(E_F) (states/eV/f.u.): 2.97
M_tot (μB per atom): 0.67

Need the numbers? Relative energies in eV/atom: A 0.690; B 0.000; C 0.016.

A | # LiScFe

LiScFe after structural relaxation (PBE, Alexandria via LeMat-Bulk).

POSCAR file:
```
LiScFe
1.0
-2.0167 0.5067 -3.8332
-2.3301 -0.1903 3.6813
0.1965 2.8295 0.2707
Fe Li Sc
1 1 1
direct
0.0000 0.0000 0.1181
0.3333 0.6667 0.2267
0.6667 0.3333 0.6551
```

Output
DOS(E_F) (states/eV/f.u.): 3.53
M_tot (μB per atom): 0.38

B | # LiScFe

LiScFe after structural relaxation (PBE, Alexandria via LeMat-Bulk).

POSCAR file:
```
LiScFe
1.0
-2.1997 2.9158 -2.0589
-4.1676 -0.3442 -0.3042
-2.4813 2.6362 2.1151
Fe Li Sc
1 1 1
direct
0.5000 0.5000 0.5000
0.2500 0.2500 0.2500
0.0000 0.0000 0.0000
```

Output
DOS(E_F) (states/eV/f.u.): 2.96
M_tot (μB per atom): 0.49

Need the numbers? Relative energies in eV/atom: A 0.000; B 0.390.

A | # Li3FeSe

Li3FeSe after structural relaxation (PBE, Alexandria via LeMat-Bulk).

POSCAR file:
```
Li3FeSe
1.0
-3.6429 3.0014 0.0638
-2.9699 -3.5884 -0.7655
-0.4382 -0.6309 4.6576
Fe Se Li
1 1 3
direct
0.0000 0.0000 0.0000
0.5000 0.5000 0.5000
0.0000 0.5000 0.0000
0.0000 0.0000 0.5000
0.5000 0.0000 0.0000
```

Output
DOS(E_F) (states/eV/f.u.): 0.20
M_tot (μB per atom): 0.60

B | # Li3FeSe

Li3FeSe after structural relaxation (PBE, Alexandria via LeMat-Bulk).

POSCAR file:
```
Li3FeSe
1.0
4.8044 0.0000 0.0000
0.0000 4.8044 0.0000
0.0000 0.0000 4.8044
Fe Se Li
1 1 3
direct
0.5000 0.5000 0.5000
0.0000 0.0000 0.0000
0.0000 0.5000 0.0000
0.0000 0.0000 0.5000
0.5000 0.0000 0.0000
```

Output
DOS(E_F) (states/eV/f.u.): 0.71
M_tot (μB per atom): 0.60

Need the numbers? Relative energies in eV/atom: A 0.386; B 0.000.

A | # LiFe2TeSe

LiFe2TeSe after structural relaxation (PBE, Alexandria via LeMat-Bulk).

POSCAR file:
```
LiFe2TeSe
1.0
-0.7687 0.9951 -4.2733
1.0665 -5.7377 -1.5280
-4.3164 -0.9502 0.5552
Te Fe Se Li
1 2 1 1
direct
0.0000 0.5000 0.0000
0.0000 0.0000 0.5000
0.5000 0.0000 0.0000
0.0000 0.0000 0.0000
0.5000 0.5000 0.5000
```

Output
DOS(E_F) (states/eV/f.u.): 6.48
M_tot (μB per atom): 1.10

B | # LiFe2TeSe

LiFe2TeSe after structural relaxation (PBE, Alexandria via LeMat-Bulk).

POSCAR file:
```
LiFe2TeSe
1.0
4.6806 0.0000 0.0000
0.0000 4.1439 0.0000
0.0000 0.0000 4.6806
Te Fe Se Li
1 2 1 1
direct
0.5000 0.5000 0.5000
0.0000 0.0000 0.5000
0.5000 0.0000 0.0000
0.0000 0.5000 0.0000
0.0000 0.0000 0.0000
```

Output
DOS(E_F) (states/eV/f.u.): 7.69
M_tot (μB per atom): 1.20

Need the numbers? Relative energies in eV/atom: A 0.000; B 0.286.

A | # LiFe3Si

LiFe3Si after structural relaxation (PBE, Alexandria via LeMat-Bulk).

POSCAR file:
```
LiFe3Si
1.0
4.3310 0.0000 0.0000
0.0000 4.3310 0.0000
0.0000 0.0000 4.3310
Si Fe Li
1 3 1
direct
0.0000 0.0000 0.0000
0.0000 0.5000 0.0000
0.0000 0.0000 0.5000
0.5000 0.0000 0.0000
0.5000 0.5000 0.5000
```

Output
DOS(E_F) (states/eV/f.u.): 9.91
M_tot (μB per atom): 1.39

B | # LiFe3Si

LiFe3Si after structural relaxation (PBE, Alexandria via LeMat-Bulk).

POSCAR file:
```
LiFe3Si
1.0
3.9288 0.0000 0.0000
0.0000 3.9288 0.0000
0.0000 0.0000 3.9288
Si Fe Li
1 3 1
direct
0.5000 0.5000 0.5000
0.0000 0.5000 0.0000
0.0000 0.0000 0.5000
0.5000 0.0000 0.0000
0.0000 0.0000 0.0000
```

Output
DOS(E_F) (states/eV/f.u.): 7.95
M_tot (μB per atom): 1.32

Need the numbers? Relative energies in eV/atom: A 0.000; B 0.273.

A | # LiYFeSi2

LiYFeSi2 after structural relaxation (PBE, Alexandria via LeMat-Bulk).

POSCAR file:
```
LiYFeSi2
1.0
-1.6817 3.4298 2.2152
-2.2521 -3.1335 3.1418
3.5604 0.0592 2.6113
Y Si Fe Li
1 2 1 1
direct
0.0000 0.5000 0.0000
0.0000 0.0000 0.5000
0.5000 0.0000 0.0000
0.0000 0.0000 0.0000
0.5000 0.5000 0.5000
```

Output
DOS(E_F) (states/eV/f.u.): 2.90
M_tot (μB per atom): 0.01

B | # LiYFeSi2

LiYFeSi2 after structural relaxation (PBE, Alexandria via LeMat-Bulk).

POSCAR file:
```
LiYFeSi2
1.0
-1.6559 0.3003 -3.9946
3.4872 -2.0190 -1.5973
-1.9010 -3.6875 0.5108
Y Si Fe Li
1 2 1 1
direct
0.5000 0.5000 0.5000
0.0000 0.5000 0.0000
0.5000 0.0000 0.0000
0.0000 0.0000 0.5000
0.0000 0.0000 0.0000
```

Output
DOS(E_F) (states/eV/f.u.): 3.45
M_tot (μB per atom): 0.48

Need the numbers? Relative energies in eV/atom: A 0.000; B 0.268.